Y3Ho8Tm3 (PBE, optimized geometry); energy = -4.851 eV/atom; DOS at the Fermi energy = 21.7 states/eV per cell; DFT formation energy = 108 meV per atom
1.0
-2.783 5.352 7.407
2.783 -5.352 7.407
2.783 5.352 -7.407
Y Ho Tm
3 8 3
direct
0.000 0.000 0.000
0.181 0.681 0.500
0.819 0.319 0.500
0.120 0.279 0.841
0.238 0.897 0.341
0.438 0.279 0.159
0.445 0.103 0.341
0.555 0.897 0.659
0.562 0.721 0.841
0.762 0.103 0.659
0.880 0.721 0.159
0.205 0.500 0.705
0.500 0.500 0.000
0.795 0.500 0.295